The following is a PBE calculation of CsTlBr2F8 after structural relaxation, from Alexandria via LeMat-Bulk.

Summary:
The theoretical density is 4.4 g cm⁻³. For the formation energy (no corrections), the calculation gives -1356 meV/atom. Its uncorrected energy is -3.15 eV per atom.

Geometry as CIF:
```
data_CsTlBr2F8
_chemical_formula_sum 'Cs2 Tl2 Br4 F16'
_cell_length_a 10.0559
_cell_length_b 6.4250
_cell_length_c 8.1725
_cell_angle_alpha 90.00
_cell_angle_beta 113.29
_cell_angle_gamma 90.00
_symmetry_space_group_name_H-M 'C 1 2/m 1'
_symmetry_Int_Tables_number 12
_symmetry_space_group_name_Hall '-C 2y'
loop_
_atom_site_label
_atom_site_type_symbol
_atom_site_fract_x
_atom_site_fract_y
_atom_site_fract_z
_atom_site_occupancy
Cs1 Cs 0.0000 0.0000 0.0000 1
Tl1 Tl 0.0000 0.5000 0.5000 1
Br1 Br 0.2433 0.5000 0.3040 1
F1 F 0.0285 0.2673 0.6989 1
F2 F 0.2087 0.5000 0.0628 1
F3 F 0.2468 0.0000 0.4482 1
```


The following is a PBE calculation of CsTlBr2F after structural relaxation, from Alexandria via LeMat-Bulk.

Summary:
The theoretical density is 5.1 g cm⁻³. For the formation energy (no corrections), the calculation gives -1449 meV/atom. Its uncorrected energy is -3.14 eV per atom.

Geometry as CIF:
```
data_CsTlBr2F
_chemical_formula_sum 'Cs1 Tl1 Br2 F1'
_cell_length_a 5.9399
_cell_length_b 5.9399
_cell_length_c 4.7769
_cell_angle_alpha 90.00
_cell_angle_beta 90.00
_cell_angle_gamma 90.00
_symmetry_space_group_name_H-M 'P 4/m m m'
_symmetry_Int_Tables_number 123
_symmetry_space_group_name_Hall '-P 4 2'
loop_
_atom_site_label
_atom_site_type_symbol
_atom_site_fract_x
_atom_site_fract_y
_atom_site_fract_z
_atom_site_occupancy
Cs1 Cs 0.0000 0.0000 0.0000 1
Tl1 Tl 0.5000 0.5000 0.5000 1
Br1 Br 0.0000 0.5000 0.5000 1
F1 F 0.5000 0.5000 0.0000 1
```


The following is a PBE calculation of CsTlBrF after structural relaxation, from Alexandria via LeMat-Bulk.

Summary:
The theoretical density is 5.8 g cm⁻³. For the formation energy (no corrections), the calculation gives -1557 meV/atom. Its uncorrected energy is -3.25 eV per atom.

Geometry as CIF:
```
data_CsTlBrF
_chemical_formula_sum 'Cs4 Tl4 Br4 F4'
_cell_length_a 7.9541
_cell_length_b 7.9541
_cell_length_c 7.9541
_cell_angle_alpha 90.00
_cell_angle_beta 90.00
_cell_angle_gamma 90.00
_symmetry_space_group_name_H-M 'F -4 3 m'
_symmetry_Int_Tables_number 216
_symmetry_space_group_name_Hall 'F -4 2 3'
loop_
_atom_site_label
_atom_site_type_symbol
_atom_site_fract_x
_atom_site_fract_y
_atom_site_fract_z
_atom_site_occupancy
Cs1 Cs 0.0000 0.0000 0.0000 1
Tl1 Tl 0.0000 0.0000 0.5000 1
Br1 Br 0.2500 0.2500 0.2500 1
F1 F 0.2500 0.2500 0.7500 1
```


The following is a PBE calculation of CsTlBrF after structural relaxation, from Alexandria via LeMat-Bulk.

Summary:
The theoretical density is 4.8 g cm⁻³. For the formation energy (no corrections), the calculation gives -1720 meV/atom. Its uncorrected energy is -3.41 eV per atom.

Geometry as CIF:
```
data_CsTlBrF
_chemical_formula_sum 'Cs1 Tl1 Br1 F1'
_cell_length_a 4.5035
_cell_length_b 4.5371
_cell_length_c 8.0900
_cell_angle_alpha 80.87
_cell_angle_beta 82.25
_cell_angle_gamma 67.10
_symmetry_space_group_name_H-M 'P 1'
_symmetry_Int_Tables_number 1
_symmetry_space_group_name_Hall 'P 1'
loop_
_atom_site_label
_atom_site_type_symbol
_atom_site_fract_x
_atom_site_fract_y
_atom_site_fract_z
_atom_site_occupancy
Cs1 Cs 0.0000 0.0000 0.0000 1
Tl1 Tl 0.5943 0.5777 0.5596 1
Br1 Br 0.2984 0.2814 0.3325 1
F1 F 0.3695 0.3890 0.8411 1
```


The following is a PBE calculation of Cs2TlBr2F2 after structural relaxation, from Alexandria via LeMat-Bulk.

Summary:
The theoretical density is 4.9 g cm⁻³. For the formation energy (no corrections), the calculation gives -1817 meV/atom. Its uncorrected energy is -3.41 eV per atom.

Geometry as CIF:
```
data_Cs2TlBr2F2
_chemical_formula_sum 'Cs4 Tl2 Br4 F4'
_cell_length_a 5.0309
_cell_length_b 5.0309
_cell_length_c 17.8622
_cell_angle_alpha 90.00
_cell_angle_beta 90.00
_cell_angle_gamma 90.00
_symmetry_space_group_name_H-M 'I 4/m m m'
_symmetry_Int_Tables_number 139
_symmetry_space_group_name_Hall '-I 4 2'
loop_
_atom_site_label
_atom_site_type_symbol
_atom_site_fract_x
_atom_site_fract_y
_atom_site_fract_z
_atom_site_occupancy
Cs1 Cs 0.0000 0.0000 0.1210 1
Tl1 Tl 0.0000 0.0000 0.5000 1
Br1 Br 0.0000 0.0000 0.3349 1
F1 F 0.0000 0.5000 0.0000 1
```


The following is a PBE calculation of Cs2UBr3F3 after structural relaxation, from Alexandria via LeMat-Bulk.

Summary:
The theoretical density is 5.0 g cm⁻³. For the formation energy (no corrections), the calculation gives -2355 meV/atom. Its uncorrected energy is -4.98 eV per atom.

Geometry as CIF:
```
data_Cs2UBr3F3
_chemical_formula_sum 'Cs2 U1 Br3 F3'
_cell_length_a 9.0127
_cell_length_b 9.0127
_cell_length_c 3.7904
_cell_angle_alpha 90.00
_cell_angle_beta 90.00
_cell_angle_gamma 120.00
_symmetry_space_group_name_H-M 'P -6 2 m'
_symmetry_Int_Tables_number 189
_symmetry_space_group_name_Hall 'P -6 -2'
loop_
_atom_site_label
_atom_site_type_symbol
_atom_site_fract_x
_atom_site_fract_y
_atom_site_fract_z
_atom_site_occupancy
Cs1 Cs 0.3333 0.6667 0.0000 1
U1 U 0.0000 0.0000 0.5000 1
Br1 Br 0.0000 0.3337 0.5000 1
F1 F 0.0000 0.8385 0.0000 1
```